Entry 1:
This record from Alexandria describes a relaxed TcSeN2O crystal. The functional is PBE.

Cell: 3.703 3.703 5.326 Å, 90.00 90.00 90.00°
Atoms (fractional coordinates):
1 O 0.500 0.500 0.500
2 Tc 0.000 0.000 0.000
3 Se 0.000 0.000 0.500
4 N 0.000 0.500 0.000
5 N 0.500 0.000 0.000

formation energy from raw total energies	85	kJ per mole of atoms
symmetry	P4/mmm, No. 123

=====

Entry 2:
This record from Alexandria describes a relaxed Zn2CuBr crystal. The functional is PBE.

Cell: 3.389 3.389 7.763 Å, 90.00 90.00 118.67°
Atoms (fractional coordinates):
1 Br 0.000 0.000 0.516
2 Cu 0.500 0.500 0.760
3 Zn 0.000 0.000 0.988
4 Zn 0.500 0.500 0.236

E above lowest polymorph	0.90	eV/f.u.
formation energy from raw total energies	17	kJ per mole of atoms
symmetry	Cmm2, No. 35

=====

Entry 3:
This record from Alexandria describes a relaxed HfZr2U crystal. The functional is PBE.

Cell: 3.028 3.028 11.818 Å, 82.64 82.64 60.00°
Atoms (fractional coordinates):
1 Hf 0.000 0.000 0.000
2 U 0.500 0.500 0.500
3 Zr 0.086 0.086 0.743
4 Zr 0.914 0.914 0.257

energy of formation from the pure elements	371	meV per atom
E above lowest polymorph	0.41	eV/f.u.
symmetry	R-3m, No. 166

=====

Entry 4:
This record from Alexandria describes a relaxed ScSb2P crystal. The functional is PBE.

Cell: 3.985 3.985 5.690 Å, 90.00 90.00 90.00°
Atoms (fractional coordinates):
1 Sc 0.500 0.500 0.000
2 Sb 0.000 0.000 0.746
3 Sb 0.000 0.000 0.254
4 P 0.500 0.500 0.500

formation energy from raw total energies	-18	kJ per mole of atoms
symmetry	P4/mmm, No. 123

=====

| no. | DOS(E_F) (states/eV/cell) |
| --- | --- |
| 1 | 1.76 |
| 2 | 1.03 |
| 3 | 7.92 |
| 4 | 1.89 |